Version A
CaAuBr4 | Alexandria via LeMat-Bulk | GGA-PBE | optimized geometry; DOS(E_F) = 2.3 states/eV/f.u.; symmetry = P2_1/c
1.0
6.9281 0.0000 0.0000
0.0000 4.3458 0.0000
-6.4289 0.0000 13.5017
Ca Au Br
2 2 8
Direct
0.0000 0.0000 0.0000
0.0000 0.5000 0.5000
0.5000 0.0000 0.5000
0.5000 0.5000 0.0000
0.2158 0.1399 0.8756
0.2158 0.3601 0.3756
0.2909 0.5010 0.1146
0.2909 0.9990 0.6146
0.7091 0.0010 0.3854
0.7091 0.4990 0.8854
0.7842 0.6399 0.6244
0.7842 0.8601 0.1244

Version B
CaAuBr4 | Alexandria via LeMat-Bulk | GGA-PBE | optimized geometry; DOS(E_F) = 8.0 states/eV/f.u.; symmetry = F-43m
1.0
0.0000 4.4224 4.4224
4.4224 0.0000 4.4224
4.4224 4.4224 0.0000
Ca Au Br
1 1 4
Direct
0.0000 0.0000 0.0000
0.7500 0.7500 0.7500
0.3760 0.3760 0.3760
0.3760 0.3760 0.8719
0.3760 0.8719 0.3760
0.8719 0.3760 0.3760

Which is most stable? The ranking, best first, is version A, version B.

Version A
Cd3AuBr | Alexandria via LeMat-Bulk | GGA-PBE | optimized geometry; DOS(E_F) = 3.8 states/eV/f.u.; symmetry = Pm-3m
1.0
5.6981 0.0000 0.0000
0.0000 5.6981 0.0000
0.0000 0.0000 5.6981
Cd Au Br
3 1 1
Direct
0.0000 0.0000 0.5000
0.0000 0.5000 0.0000
0.5000 0.0000 0.0000
0.5000 0.5000 0.5000
0.0000 0.0000 0.0000

Version B
Cd3AuBr | Alexandria via LeMat-Bulk | GGA-PBE | optimized geometry; DOS(E_F) = 1.7 states/eV/f.u.; symmetry = Pm-3m
1.0
5.3596 0.0000 0.0000
0.0000 5.3596 0.0000
0.0000 0.0000 5.3596
Cd Au Br
3 1 1
Direct
0.0000 0.0000 0.5000
0.0000 0.5000 0.0000
0.5000 0.0000 0.0000
0.0000 0.0000 0.0000
0.5000 0.5000 0.5000

Which is most stable? The ranking, best first, is version B, version A.

Version A
Cd2Au2Br | Alexandria via LeMat-Bulk | GGA-PBE | optimized geometry; DOS(E_F) = 2.1 states/eV/f.u.; symmetry = I4/mmm
1.0
-2.2174 2.2174 6.1972
2.2174 -2.2174 6.1972
2.2174 2.2174 -6.1972
Cd Au Br
2 2 1
Direct
0.2500 0.7500 0.5000
0.7500 0.2500 0.5000
0.1107 0.1107 0.0000
0.8893 0.8893 0.0000
0.5000 0.5000 0.0000

Version B
Cd2Au2Br | Alexandria via LeMat-Bulk | GGA-PBE | optimized geometry; DOS(E_F) = 2.0 states/eV/f.u.; symmetry = P4/mbm
1.0
8.5647 0.0000 0.0000
0.0000 8.5647 0.0000
0.0000 0.0000 3.0516
Cd Au Br
4 4 2
Direct
0.1844 0.3156 0.0000
0.3156 0.8156 0.0000
0.6844 0.1844 0.0000
0.8156 0.6844 0.0000
0.1157 0.6157 0.5000
0.3843 0.1157 0.5000
0.6157 0.8843 0.5000
0.8843 0.3843 0.5000
0.0000 0.0000 0.0000
0.5000 0.5000 0.0000

Which is most stable? The ranking, best first, is version B, version A.

Version A
Cs2CdAuBr | Alexandria via LeMat-Bulk | GGA-PBE | optimized geometry; DOS(E_F) = 1.6 states/eV/f.u.; symmetry = P4/mmm
1.0
6.7963 0.0000 0.0000
0.0000 6.7963 0.0000
0.0000 0.0000 5.3783
Cs Cd Au Br
2 1 1 1
Direct
0.0000 0.5000 0.0000
0.5000 0.0000 0.0000
0.0000 0.0000 0.5000
0.0000 0.0000 0.0000
0.5000 0.5000 0.5000

Version B
Cs2CdAuBr | Alexandria via LeMat-Bulk | GGA-PBE | optimized geometry; DOS(E_F) = 1.7 states/eV/f.u.; symmetry = P4/nmm
1.0
5.1046 0.0000 0.0000
0.0000 5.1046 0.0000
0.0000 0.0000 16.5563
Cs Cd Au Br
4 2 2 2
Direct
0.2500 0.2500 0.1164
0.2500 0.2500 0.6726
0.7500 0.7500 0.3274
0.7500 0.7500 0.8836
0.2500 0.7500 0.5000
0.7500 0.2500 0.5000
0.2500 0.2500 0.4147
0.7500 0.7500 0.5853
0.2500 0.2500 0.8950
0.7500 0.7500 0.1050

Which is most stable? The ranking, best first, is version B, version A.

Version A
CeAu2Br8 | Alexandria via LeMat-Bulk | GGA-PBE | optimized geometry; DOS(E_F) = 5.4 states/eV/f.u.; symmetry = C2/m
1.0
6.2173 -4.5340 0.0000
6.2173 4.5340 0.0000
-0.9039 0.0000 7.3543
Ce Au Br
1 2 8
Direct
0.0000 0.0000 0.0000
0.2323 0.2323 0.7563
0.7677 0.7677 0.2437
0.1162 0.7065 0.2385
0.1863 0.1863 0.2318
0.2935 0.8838 0.7615
0.4237 0.4237 0.7324
0.5763 0.5763 0.2676
0.7065 0.1162 0.2385
0.8137 0.8137 0.7682
0.8838 0.2935 0.7615

Version B
CeAu2Br8 | Alexandria via LeMat-Bulk | GGA-PBE | optimized geometry; DOS(E_F) = 3.9 states/eV/f.u.; symmetry = P-1
1.0
6.7651 0.0000 0.0000
-2.2773 7.4084 0.0000
-1.2445 -0.8366 8.2141
Ce Au Br
1 2 8
Direct
0.0000 0.0000 0.0000
0.4536 0.9137 0.7646
0.5464 0.0863 0.2354
0.1521 0.6184 0.5900
0.1934 0.7475 0.0950
0.2170 0.1068 0.7302
0.3168 0.2844 0.2122
0.6832 0.7156 0.7878
0.7830 0.8932 0.2698
0.8066 0.2525 0.9050
0.8479 0.3816 0.4100

Which is most stable? The ranking, best first, is version B, version A.

Version A
Au3BrCl | Alexandria via LeMat-Bulk | GGA-PBE | optimized geometry; DOS(E_F) = 2.5 states/eV/f.u.; symmetry = Pm-3m
1.0
5.0332 0.0000 0.0000
0.0000 5.0332 0.0000
0.0000 0.0000 5.0332
Au Br Cl
3 1 1
Direct
0.0000 0.0000 0.5000
0.0000 0.5000 0.0000
0.5000 0.0000 0.0000
0.5000 0.5000 0.5000
0.0000 0.0000 0.0000

Version B
Au3BrCl | Alexandria via LeMat-Bulk | GGA-PBE | optimized geometry; DOS(E_F) = 2.7 states/eV/f.u.; symmetry = Pm-3m
1.0
5.1683 0.0000 0.0000
0.0000 5.1683 0.0000
0.0000 0.0000 5.1683
Au Br Cl
3 1 1
Direct
0.0000 0.0000 0.5000
0.0000 0.5000 0.0000
0.5000 0.0000 0.0000
0.0000 0.0000 0.0000
0.5000 0.5000 0.5000

Which is most stable? The ranking, best first, is version A, version B.

Version A
AuBrCl | Alexandria via LeMat-Bulk | GGA-PBE | optimized geometry; DOS(E_F) = 0.7 states/eV/f.u.; symmetry = Imm2
1.0
-1.4079 1.9444 7.1568
1.4079 -1.9444 7.1568
1.4079 1.9444 -7.1568
Au Br Cl
1 1 1
Direct
0.0000 0.0000 0.0000
0.6443 0.6443 0.0000
0.3898 0.3898 0.0000

Version B
AuBrCl | Alexandria via LeMat-Bulk | GGA-PBE | optimized geometry; DOS(E_F) = 1.2 states/eV/f.u.; symmetry = P2_1/c
1.0
4.7552 0.0000 0.0000
0.0000 13.4338 0.0000
-3.2152 0.0000 5.9113
Au Br Cl
4 4 4
Direct
0.1233 0.1316 0.4710
0.1233 0.3684 0.9710
0.8767 0.6316 0.0290
0.8767 0.8684 0.5290
0.0026 0.0317 0.7518
0.0026 0.4683 0.2518
0.9974 0.5317 0.7482
0.9974 0.9683 0.2482
0.2397 0.2161 0.1975
0.2397 0.2839 0.6975
0.7603 0.7161 0.3025
0.7603 0.7839 0.8025

Version C
AuBrCl | Alexandria via LeMat-Bulk | GGA-PBE | optimized geometry; DOS(E_F) = 4.2 states/eV/f.u.; symmetry = P3m1
1.0
4.0091 0.0000 0.0000
-2.0045 3.4719 0.0000
0.0000 0.0000 5.9341
Au Br Cl
1 1 1
Direct
0.0000 0.0000 0.0000
0.6667 0.3333 0.2514
0.3333 0.6667 0.7777

Version D
AuBrCl | Alexandria via LeMat-Bulk | GGA-PBE | optimized geometry; DOS(E_F) = 3.0 states/eV/f.u.; symmetry = Fmm2
1.0
0.0000 4.1318 6.3295
1.8732 0.0000 6.3295
1.8732 4.1318 0.0000
Au Br Cl
1 1 1
Direct
0.0000 0.0000 0.0000
0.6388 0.6388 0.3612
0.3721 0.3721 0.6279

Which is most stable? The ranking, best first, is version B, version D, version C, version A.

Version A
AuBrCl | Alexandria via LeMat-Bulk | GGA-PBE | optimized geometry; DOS(E_F) = 1.8 states/eV/f.u.; symmetry = P1
1.0
3.6702 0.0000 0.0000
0.1591 7.2739 0.0000
0.0219 1.1398 7.4674
Au Br Cl
2 2 2
Direct
0.0000 0.0000 0.0000
0.4939 0.1126 0.2128
0.4832 0.4057 0.9975
0.5076 0.7861 0.3662
0.5048 0.9091 0.8209
0.9880 0.2192 0.4078

Version B
AuBrCl | Alexandria via LeMat-Bulk | GGA-PBE | optimized geometry; DOS(E_F) = 5.4 states/eV/f.u.; symmetry = F-43m
1.0
0.0000 3.3950 3.3950
3.3950 0.0000 3.3950
3.3950 3.3950 0.0000
Au Br Cl
1 1 1
Direct
0.0000 0.0000 0.0000
0.2500 0.2500 0.2500
0.5000 0.5000 0.5000

Which is most stable? The ranking, best first, is version A, version B.